Record 1
The following is a GGA-PBE calculation of a relaxed YC2 crystal, from Alexandria via LeMat-Bulk.

```
YC2
1.0
4.224 0.000 0.000
-2.112 3.658 0.000
0.000 0.000 12.435
Y C
4 8
direct
0.333 0.667 0.104
0.333 0.667 0.396
0.667 0.333 0.604
0.667 0.333 0.896
0.000 0.000 0.000
0.000 0.000 0.500
0.111 0.221 0.250
0.111 0.889 0.250
0.221 0.111 0.750
0.779 0.889 0.250
0.889 0.111 0.750
0.889 0.779 0.750
```

Crystal system: hexagonal
Space group: P6_3/mmc (194)
ρ, g cm⁻³: 3.90
Formation energy from the elements, eV/f.u.: 2.41
Total magnetization, μB/cell: 0.00
Energy relative to the lowest polymorph listed for this composition, eV/atom: 0.988


Record 2
The following is a GGA-PBE calculation of a relaxed YC2 crystal, from Alexandria via LeMat-Bulk.

```
YC2
1.0
-1.816 1.816 5.487
1.816 -1.816 5.487
1.816 1.816 -5.487
Y C
2 4
direct
0.375 0.625 0.750
0.625 0.375 0.250
0.063 0.813 0.250
0.187 0.937 0.250
0.813 0.063 0.750
0.937 0.187 0.750
```

Crystal system: tetragonal
Space group: I4_1/amd (141)
ρ, g cm⁻³: 5.18
Formation energy from the elements, eV/f.u.: 1.05
Total magnetization, μB/cell: 0.00
Energy relative to the lowest polymorph listed for this composition, eV/atom: 0.533


Record 3
The following is a GGA-PBE calculation of a relaxed Y6C7 crystal, from Alexandria via LeMat-Bulk.

```
Y6C7
1.0
2.435 1.406 10.418
-2.435 1.406 10.418
0.000 -2.812 10.418
Y C
6 7
direct
0.068 0.068 0.068
0.201 0.201 0.201
0.318 0.318 0.318
0.682 0.682 0.682
0.799 0.799 0.799
0.932 0.932 0.932
0.191 0.502 0.502
0.498 0.498 0.809
0.498 0.809 0.498
0.500 0.500 0.500
0.502 0.191 0.502
0.502 0.502 0.191
0.809 0.498 0.498
```

Crystal system: trigonal
Space group: R-3m (166)
ρ, g cm⁻³: 4.79
Formation energy from the elements, eV/f.u.: 4.49
Total magnetization, μB/cell: 0.44


Number 1: volume 16.010 Å³ per atom. Number 2: volume 12.068 Å³ per atom. Number 3: volume 16.460 Å³ per atom.